[1]
A plane-wave DFT calculation with PBE was carried out for a relaxed structure of SrLaTlGa.

Structure (POSCAR):
```
SrLaTlGa
1.0
5.5769 0.0000 0.0000
2.7884 4.8297 0.0000
2.7884 1.6099 4.5535
Sr Tl Ga La
1 1 1 1
direct
0.5000 0.5000 0.5000 Sr
0.7500 0.7500 0.7500 Tl
0.2500 0.2500 0.2500 Ga
0.0000 0.0000 0.0000 La
```

Energy of formation, eV per atom: -0.397

=====

[2]
A plane-wave DFT calculation with PBE was carried out for a relaxed structure of Cs4Ho3ThSe8.

Structure (POSCAR):
```
Cs4Ho3ThSe8
1.0
8.5263 0.0000 0.0000
0.0000 9.7076 0.8307
-4.2632 -4.2639 6.0309
Cs Ho Th Se
4 3 1 8
direct
0.5000 0.0000 0.0000 Cs
0.5000 0.0000 0.5000 Cs
0.0000 0.0000 0.0000 Cs
0.0000 0.0000 0.5000 Cs
0.5000 0.5000 0.0000 Ho
0.5000 0.5000 0.5000 Ho
0.0000 0.5000 0.5000 Ho
0.0000 0.5000 0.0000 Th
0.2312 0.6877 0.9566 Se
0.2312 0.6877 0.4624 Se
0.2720 0.3160 0.5439 Se
0.7254 0.6877 0.9566 Se
0.2746 0.3123 0.0434 Se
0.7280 0.6840 0.4561 Se
0.7688 0.3123 0.5376 Se
0.7688 0.3123 0.0434 Se
```

Raw formation energy, eV per atom: -1.670

=====

Please write out number 2 again, unchanged.
A plane-wave DFT calculation with PBE was carried out for a relaxed structure of Cs4Ho3ThSe8.

Structure (POSCAR):
```
Cs4Ho3ThSe8
1.0
8.5263 0.0000 0.0000
0.0000 9.7076 0.8307
-4.2632 -4.2639 6.0309
Cs Ho Th Se
4 3 1 8
direct
0.5000 0.0000 0.0000 Cs
0.5000 0.0000 0.5000 Cs
0.0000 0.0000 0.0000 Cs
0.0000 0.0000 0.5000 Cs
0.5000 0.5000 0.0000 Ho
0.5000 0.5000 0.5000 Ho
0.0000 0.5000 0.5000 Ho
0.0000 0.5000 0.0000 Th
0.2312 0.6877 0.9566 Se
0.2312 0.6877 0.4624 Se
0.2720 0.3160 0.5439 Se
0.7254 0.6877 0.9566 Se
0.2746 0.3123 0.0434 Se
0.7280 0.6840 0.4561 Se
0.7688 0.3123 0.5376 Se
0.7688 0.3123 0.0434 Se
```

Raw formation energy, eV per atom: -1.670

=====

Copy entry 2 word for word.
A plane-wave DFT calculation with PBE was carried out for a relaxed structure of Cs4Ho3ThSe8.

Structure (POSCAR):
```
Cs4Ho3ThSe8
1.0
8.5263 0.0000 0.0000
0.0000 9.7076 0.8307
-4.2632 -4.2639 6.0309
Cs Ho Th Se
4 3 1 8
direct
0.5000 0.0000 0.0000 Cs
0.5000 0.0000 0.5000 Cs
0.0000 0.0000 0.0000 Cs
0.0000 0.0000 0.5000 Cs
0.5000 0.5000 0.0000 Ho
0.5000 0.5000 0.5000 Ho
0.0000 0.5000 0.5000 Ho
0.0000 0.5000 0.0000 Th
0.2312 0.6877 0.9566 Se
0.2312 0.6877 0.4624 Se
0.2720 0.3160 0.5439 Se
0.7254 0.6877 0.9566 Se
0.2746 0.3123 0.0434 Se
0.7280 0.6840 0.4561 Se
0.7688 0.3123 0.5376 Se
0.7688 0.3123 0.0434 Se
```

Raw formation energy, eV per atom: -1.670